The following is a PBE calculation of a geometry-optimized ZnIn2Si2Pd5 structure, from the Alexandria database.

Calculated values
total magnetic moment = 0.00 μB per atom
N(E_F) = 5.46 states/eV per cell
raw total energy = -4.75 eV per atom
E_form (uncorrected) = -0.393 eV/atom
SG = P4/mbm

abc: 3.2832 10.0181 10.0181
angles: 90.00 90.00 90.00
Last column: nearest neighbours and their distance in Å.
Atoms (fractional coordinates):
Pd 0.5000 0.4732 0.2896  2 Si 2.50, 2 Zn 2.68
In 0.0000 0.1773 0.3227  1 Si 2.65, 4 Pd 2.85
Pd 0.5000 0.2896 0.5268  2 Si 2.50, 2 Zn 2.68
Si 0.0000 0.6356 0.8644  6 Pd 2.50-2.53, 1 In 2.65
In 0.0000 0.3227 0.8227  1 Si 2.65, 4 Pd 2.85
Pd 0.5000 0.9732 0.2104  2 Si 2.50, 2 Zn 2.68
Zn 0.0000 0.5000 0.5000  8 Pd 2.68
Pd 0.5000 0.7104 0.4732  2 Si 2.50, 2 Zn 2.68
In 0.0000 0.8227 0.6773  1 Si 2.65, 4 Pd 2.85
Si 0.0000 0.8644 0.3644  6 Pd 2.50-2.53, 1 In 2.65
Pd 0.5000 0.2104 0.0268  2 Si 2.50, 2 Zn 2.68
Pd 0.5000 0.5000 0.0000  4 Si 2.53
Pd 0.5000 0.0000 0.5000  4 Si 2.53
Si 0.0000 0.3644 0.1356  6 Pd 2.50-2.53, 1 In 2.65
Pd 0.5000 0.5268 0.7104  2 Si 2.50, 2 Zn 2.68
Pd 0.5000 0.0268 0.7896  2 Si 2.50, 2 Zn 2.68
Pd 0.5000 0.7896 0.9732  2 Si 2.50, 2 Zn 2.68
In 0.0000 0.6773 0.1773  1 Si 2.65, 4 Pd 2.85
Zn 0.0000 0.0000 0.0000  8 Pd 2.68
Si 0.0000 0.1356 0.6356  6 Pd 2.50-2.53, 1 In 2.65